(1)
The following is a DFT calculation (PBE) of a relaxed structure of PmNpAs2Rh5.

## Properties
Total magnetic moment: 2.0 μB per cell
Space group: P4/mmm, No. 123
Formation energy from the elements: -33 kJ per mole of atoms
Calculated total energy: -7.428 eV per atom
Volume: 182.3 Å³ per cell

Cell: 4.000 4.000 11.393 Å, 90.00 90.00 90.00°
Site moments in Bohr magnetons follow the coordinates.
Sites, in units of the cell vectors:
As: 0.000 0.000 0.291  0.02
As: 0.000 0.000 0.709  0.02
Pm: 0.500 0.500 0.500  0.00
Rh: 0.500 0.000 0.160  -0.20
Rh: 0.500 0.000 0.840  -0.20
Rh: 0.000 0.500 0.840  -0.20
Rh: 0.000 0.500 0.160  -0.20
Rh: 0.000 0.000 0.500  0.02
Np: 0.000 0.000 0.000  2.62



(2)
The following is a DFT calculation (PBE) of a relaxed structure of LiThI5.

## Properties
Total magnetic moment: 0.0 μB per cell
Space group: C2/c, No. 15
ΔE_f (raw): -1.172 eV/atom
Calculated total energy: -3.613 eV per atom
Volume: 713.9 Å³ per cell

Cell: 8.338 8.335 12.073 Å, 112.15 112.17 88.03°
Sites, in units of the cell vectors:
Li: 0.123 0.377 0.750
Li: 0.877 0.623 0.250
I: 0.581 0.919 0.750
I: 0.711 0.704 0.035
I: 0.834 0.256 0.165
I: 0.204 0.211 0.535
I: 0.419 0.081 0.250
I: 0.289 0.296 0.965
I: 0.796 0.789 0.465
I: 0.244 0.666 0.336
I: 0.166 0.744 0.835
I: 0.756 0.334 0.664
Th: 0.500 0.000 0.500
Th: 0.500 0.000 0.000



(3)
The following is a DFT calculation (PBE) of a relaxed structure of LaMg2Ag4.

## Properties
Total magnetic moment: 0.0 μB per cell
Space group: I4/mmm, No. 139
Formation energy from the elements: -28 kJ per mole of atoms
Calculated total energy: -3.076 eV per atom
Volume: 148.8 Å³ per cell

Cell: 5.680 5.853 5.853 Å, 76.38 60.97 60.97°
Sites, in units of the cell vectors:
Mg: 0.250 0.500 0.500
Mg: 0.750 0.500 0.500
Ag: 0.305 0.390 0.000
Ag: 0.305 0.000 0.390
Ag: 0.695 0.000 0.610
Ag: 0.695 0.610 0.000
La: 0.000 0.000 0.000



(4)
The following is a DFT calculation (PBE) of a relaxed structure of Li5Nd3Cl12.

## Properties
Total magnetic moment: 0.0 μB per cell
Space group: Ia-3d, No. 230
ΔE_f (raw): -1.916 eV/atom
Calculated total energy: -4.218 eV per atom
Volume: 1810.7 Å³ per cell

Cell: 13.299 13.299 13.299 Å, 109.47 109.47 109.47°
Sites, in units of the cell vectors:
Li: 0.875 0.625 0.750
Li: 0.625 0.750 0.875
Li: 0.375 0.125 0.750
Li: 0.000 0.000 0.000
Li: 0.625 0.875 0.250
Li: 0.500 0.500 0.500
Li: 0.250 0.875 0.125
Li: 0.500 0.000 0.000
Li: 0.375 0.250 0.125
Li: 0.500 0.500 0.000
Li: 0.750 0.625 0.375
Li: 0.125 0.750 0.375
Li: 0.875 0.250 0.625
Li: 0.000 0.000 0.500
Li: 0.500 0.000 0.500
Li: 0.000 0.500 0.500
Li: 0.125 0.375 0.250
Li: 0.250 0.375 0.625
Li: 0.750 0.125 0.875
Li: 0.000 0.500 0.000
Cl: 0.182 0.091 0.969
Cl: 0.682 0.469 0.591
Cl: 0.318 0.531 0.409
Cl: 0.091 0.182 0.469
Cl: 0.469 0.682 0.091
Cl: 0.031 0.622 0.713
Cl: 0.213 0.682 0.091
Cl: 0.182 0.091 0.713
Cl: 0.122 0.409 0.091
Cl: 0.409 0.122 0.591
Cl: 0.909 0.818 0.787
Cl: 0.909 0.818 0.531
Cl: 0.591 0.969 0.682
Cl: 0.713 0.122 0.031
Cl: 0.818 0.909 0.287
Cl: 0.122 0.713 0.531
Cl: 0.622 0.031 0.213
Cl: 0.591 0.878 0.409
Cl: 0.091 0.909 0.378
Cl: 0.969 0.378 0.287
Cl: 0.031 0.409 0.818
Cl: 0.622 0.591 0.909
Cl: 0.818 0.909 0.031
Cl: 0.531 0.213 0.122
Cl: 0.469 0.787 0.878
Cl: 0.409 0.378 0.591
Cl: 0.969 0.591 0.182
Cl: 0.287 0.409 0.818
Cl: 0.213 0.531 0.622
Cl: 0.787 0.469 0.378
Cl: 0.318 0.787 0.409
Cl: 0.378 0.409 0.091
Cl: 0.409 0.287 0.318
Cl: 0.378 0.969 0.787
Cl: 0.287 0.878 0.969
Cl: 0.091 0.909 0.122
Cl: 0.713 0.591 0.182
Cl: 0.787 0.318 0.909
Cl: 0.878 0.591 0.909
Cl: 0.909 0.091 0.622
Cl: 0.909 0.091 0.878
Cl: 0.531 0.318 0.909
Cl: 0.878 0.287 0.469
Cl: 0.591 0.713 0.682
Cl: 0.091 0.182 0.213
Cl: 0.591 0.622 0.409
Cl: 0.409 0.031 0.318
Cl: 0.682 0.213 0.591
Nd: 0.750 0.875 0.625
Nd: 0.750 0.375 0.125
Nd: 0.625 0.375 0.750
Nd: 0.875 0.750 0.125
Nd: 0.250 0.625 0.875
Nd: 0.125 0.250 0.875
Nd: 0.375 0.750 0.625
Nd: 0.875 0.125 0.250
Nd: 0.250 0.125 0.375
Nd: 0.375 0.625 0.250
Nd: 0.625 0.250 0.375
Nd: 0.125 0.875 0.750